# 1
ZrNiAs2Br: optimized geometry, GGA-PBE.

a b c (Å): 5.2284 5.2284 5.2301
angles (deg): 90.00 90.00 90.00
Space group P4/mmm (No. 123)
Asymmetric unit:
Zr  0.0000  0.0000  0.0000 (multiplicity 1)
Ni  0.5000  0.5000  0.5000 (multiplicity 1)
As  0.0000  0.5000  0.0000 (multiplicity 2)
Br  0.0000  0.0000  0.5000 (multiplicity 1)

- final energy (eV/atom) = -4.5296
- energy relative to the elements, uncorrected (eV/atom) = 0.531
- DOS(E_F) (states/eV per cell) = 11.93

# 2
SiSeO2: optimized geometry, GGA-PBE.

a b c (Å): 2.8494 2.8494 20.3252
angles (deg): 90.00 90.00 120.00
Space group R-3m (No. 166, hexagonal axes)
Asymmetric unit:
Si  0.0000  0.0000  0.0000 (multiplicity 3)
Se  0.0000  0.0000  0.5000 (multiplicity 3)
O  0.0000  0.0000  0.0817 (multiplicity 6)

- final energy (eV/atom) = -4.9850
- energy relative to the elements, uncorrected (eV/atom) = -0.279
- DOS(E_F) (states/eV per cell) = 4.12

# 3
RbPSCl2: optimized geometry, GGA-PBE.

a b c (Å): 6.0881 6.0881 7.1754
angles (deg): 90.00 90.00 90.00
Space group P4/mmm (No. 123)
Asymmetric unit:
Rb  0.0000  0.0000  0.0000 (multiplicity 1)
P  0.0000  0.0000  0.5000 (multiplicity 1)
S  0.5000  0.5000  0.5000 (multiplicity 1)
Cl  0.0000  0.5000  0.0000 (multiplicity 2)

- final energy (eV/atom) = -1.9563
- energy relative to the elements, uncorrected (eV/atom) = 0.883
- DOS(E_F) (states/eV per cell) = 9.38

# 4
Tm3Sc2Ni2: optimized geometry, GGA-PBE.

a b c (Å): 11.7465 3.4610 8.6400
angles (deg): 90.00 116.54 90.00
Space group C2/m (No. 12)
Asymmetric unit:
Tm  0.0000  0.0000  0.0000 (multiplicity 2)
Tm  0.1131  0.0000  0.4349 (multiplicity 4)
Sc  0.1693  0.5000  0.8190 (multiplicity 4)
Ni  0.1821  0.5000  0.2344 (multiplicity 4)

- final energy (eV/atom) = -5.6523
- energy relative to the elements (eV per atom) = -0.28
- DOS(E_F) (states/eV per cell) = 18.83

Calculated total magnetization, 1.2; 0.0; 2.1; 0.0 Bohr magnetons per cell (same order as the records).
Calculated excess energy over the best structure of this formula in the dataset, 0.338; 1.394; 1.568; 0.000 eV per atom (same order as the records).